Pr7NiCl12 after structural relaxation, computed with PBE.

Cell and atoms, written as CIF:
```
data_Pr7NiCl12
_symmetry_space_group_name_H-M 'R -3'
_symmetry_Int_Tables_number 148
_symmetry_space_group_name_Hall '-R 3'
_cell_length_a 14.9258
_cell_length_b 14.9258
_cell_length_c 10.0967
_cell_angle_alpha 90.00
_cell_angle_beta 90.00
_cell_angle_gamma 120.00
loop_
_atom_site_label
_atom_site_fract_x
_atom_site_fract_y
_atom_site_fract_z
Pr1 0.0000 0.0000 0.0000
Pr2 0.0366 0.8702 0.3440
Ni1 0.0000 0.0000 0.5000
Cl1 0.0283 0.4490 0.1585
Cl2 0.0402 0.8680 0.8402
```

Summary:
* formation energy (no corrections): -1.87 eV per atom
* DOS(E_F): 0.270 states/eV per atom